Model 1:
## NaCa2IO6 (PBE-GGA)

Data for crystalline NaCa2IO6 at its relaxed geometry.

Cell and atoms, written as extended XYZ:
```
20
Lattice="5.589 0.000 0.000 0.000 5.866 0.000 -5.434 0.000 8.076" Properties=species:S:1:pos:R:3 pbc="T T T"
Na 0.000 0.000 0.000
Na -2.717 2.933 4.038
Ca -2.789 0.331 5.987
Ca -0.072 2.602 1.949
Ca 0.228 3.264 6.127
Ca 2.945 5.535 2.089
I 0.078 0.000 4.038
I 2.795 2.933 0.000
O -1.474 1.034 3.674
O -4.191 1.898 7.712
O -0.851 4.321 3.400
O -3.568 4.478 7.438
O 0.709 0.378 2.279
O -2.008 2.555 6.317
O 2.164 3.311 1.759
O -0.553 5.488 5.797
O 3.723 1.388 0.638
O 1.007 1.545 4.676
O 4.346 3.967 0.364
O 1.629 4.831 4.402
```

**M_tot**: 0.000 μB per formula unit
**Space group**: No. 14

=====

Model 2:
## NaCa2IO6 (PBE-GGA)

Data for crystalline NaCa2IO6 at its relaxed geometry.

Cell and atoms, written as extended XYZ:
```
10
Lattice="2.906 1.678 4.604 -2.906 1.678 4.604 0.000 -3.355 4.604" Properties=species:S:1:pos:R:3 pbc="T T T"
Na 0.000 0.000 0.000
Ca 0.000 0.000 3.698
Ca 0.000 0.000 10.113
I 0.000 0.000 6.905
O -0.601 -1.417 5.788
O -1.528 -0.188 8.023
O -0.926 1.229 5.788
O 0.926 -1.229 8.023
O 1.528 0.188 5.788
O 0.601 1.417 8.023
```

**M_tot**: 0.000 μB per formula unit
**Space group**: No. 148

=====

Verdict on stability: model 2 comes out at the bottom.

=====

Model 1:
## CaNb2I (PBE-GGA)

Data for crystalline CaNb2I at its relaxed geometry.

Cell and atoms, written as extended XYZ:
```
8
Lattice="-2.037 2.037 11.805 2.037 -2.037 11.805 2.037 2.037 -11.805" Properties=species:S:1:pos:R:3 pbc="T T T"
Ca 0.000 0.000 0.000
Ca 0.000 2.037 5.902
Nb 3.055 1.015 -2.951
Nb 1.015 1.018 2.951
Nb -1.018 1.022 8.854
Nb 1.022 1.018 14.756
I 2.037 0.000 5.902
I 0.000 0.000 11.805
```

**M_tot**: 0.000 μB per formula unit
**Space group**: No. 122

=====

Model 2:
## CaNb2I (PBE-GGA)

Data for crystalline CaNb2I at its relaxed geometry.

Cell and atoms, written as extended XYZ:
```
4
Lattice="0.000 3.549 3.549 3.549 0.000 3.549 3.549 3.549 0.000" Properties=species:S:1:pos:R:3 pbc="T T T"
Ca 0.000 0.000 0.000
Nb 1.774 1.774 1.774
Nb 5.323 5.323 5.323
I 3.549 3.549 3.549
```

**M_tot**: 3.734 μB per formula unit
**Space group**: No. 225

=====

Verdict on stability: model 2 comes out at the bottom.

=====

Model 1:
## CaNbI2 (PBE-GGA)

Data for crystalline CaNbI2 at its relaxed geometry.

Cell and atoms, written as extended XYZ:
```
4
Lattice="0.000 3.685 3.685 3.685 0.000 3.685 3.685 3.685 0.000" Properties=species:S:1:pos:R:3 pbc="T T T"
Ca 0.000 0.000 0.000
Nb 3.685 3.685 3.685
I 1.843 1.843 1.843
I 5.528 5.528 5.528
```

**M_tot**: 1.000 μB per formula unit
**Space group**: No. 225

=====

Model 2:
## CaNbI2 (PBE-GGA)

Data for crystalline CaNbI2 at its relaxed geometry.

Cell and atoms, written as extended XYZ:
```
8
Lattice="-2.794 2.794 9.196 2.794 -2.794 9.196 2.794 2.794 -9.196" Properties=species:S:1:pos:R:3 pbc="T T T"
Ca 0.000 0.000 0.000
Ca 0.000 2.794 4.598
Nb 2.794 0.000 4.598
Nb 0.000 0.000 9.196
I 1.397 -1.277 6.897
I 1.517 1.397 2.299
I 1.397 4.072 -2.299
I 1.277 1.397 11.495
```

**M_tot**: 4.626 μB per formula unit
**Space group**: No. 122

=====

Verdict on stability: model 2 comes out at the bottom.

=====

Model 1:
## Ca2NbI (PBE-GGA)

Data for crystalline Ca2NbI at its relaxed geometry.

Cell and atoms, written as extended XYZ:
```
8
Lattice="-4.320 4.320 3.580 4.320 -4.320 3.580 4.320 4.320 -3.580" Properties=species:S:1:pos:R:3 pbc="T T T"
Ca 6.480 2.107 -0.895
Ca 2.107 2.160 0.895
Ca -2.160 2.213 2.685
Ca 2.213 2.160 4.475
Nb 4.320 0.000 1.790
Nb 0.000 0.000 3.580
I 0.000 0.000 0.000
I 0.000 4.320 1.790
```

**M_tot**: 3.937 μB per formula unit
**Space group**: No. 122

=====

Model 2:
## Ca2NbI (PBE-GGA)

Data for crystalline Ca2NbI at its relaxed geometry.

Cell and atoms, written as extended XYZ:
```
4
Lattice="0.000 3.964 3.964 3.964 0.000 3.964 3.964 3.964 0.000" Properties=species:S:1:pos:R:3 pbc="T T T"
Ca 1.982 1.982 1.982
Ca 5.946 5.946 5.946
Nb 0.000 0.000 0.000
I 3.964 3.964 3.964
```

**M_tot**: 4.243 μB per formula unit
**Space group**: No. 225

=====

Verdict on stability: model 1 comes out at the bottom.